TmPa2Se6 after structural relaxation. Source: Alexandria via LeMat-Bulk, functional GGA-PBE.

Lattice parameters (Å, degrees): 9.303 9.303 8.443 104.16 104.16 25.84
Element x y z (fractional)
Tm 0.000 0.000 0.000
Pa 0.336 0.336 0.676
Pa 0.664 0.664 0.324
Se 0.163 0.163 0.098
Se 0.173 0.173 0.560
Se 0.493 0.493 0.766
Se 0.507 0.507 0.234
Se 0.827 0.827 0.440
Se 0.837 0.837 0.902

Values from the calculation:
**Calculated volume**: 308.3 Å³/cell
**Formation energy from raw total energies**: -1.473 eV per atom
**N(E_F)**: 0.862 states/eV per atom
**Distance to the lowest polymorph of the same formula**: 0.00 eV/f.u.
**Total moment**: 1.072 μB/cell
**ρ**: 6.0 Mg/m³